# La2PuNpP4 PBE relaxed
# * SG: P2/m (10)
# * total magnetic moment: 1.085 μB/atom
# * DOS(E_F): 21.25 states/eV per cell
# * raw total energy: -8.613 eV per atom
# * crystal system: monoclinic
data_La2PuNpP4
_chemical_formula_sum 'La2 Pu1 Np1 P4'
_space_group_name_H-M_alt 'P 1'
_space_group_IT_number 1
_cell_length_a 4.1163
_cell_length_b 7.1387
_cell_length_c 7.1437
_cell_angle_alpha 109.40
_cell_angle_beta 90.00
_cell_angle_gamma 90.00
loop_
_space_group_symop_operation_xyz
'x,y,z'
loop_
_atom_site_label
_atom_site_fract_x
_atom_site_fract_y
_atom_site_fract_z
La1 0.5000 0.0000 0.5000
La2 0.0000 0.5000 0.5000
Pu1 0.0000 0.0000 0.0000
Np1 0.5000 0.5000 0.0000
P1 0.5000 0.2453 0.2276
P2 0.5000 0.7547 0.7724
P3 0.0000 0.2599 0.7727
P4 0.0000 0.7401 0.2273

---

# La2NpP3Rh12 PBE relaxed
# * SG: R-3m (166)
# * total magnetic moment: 0.057 μB/atom
# * DOS(E_F): 13.56 states/eV per cell
# * raw total energy: -7.415 eV per atom
# * crystal system: trigonal
data_La2NpP3Rh12
_chemical_formula_sum 'La2 Np1 P3 Rh12'
_space_group_name_H-M_alt 'P 1'
_space_group_IT_number 1
_cell_length_a 7.4882
_cell_length_b 7.4882
_cell_length_c 7.4882
_cell_angle_alpha 66.23
_cell_angle_beta 66.23
_cell_angle_gamma 66.23
loop_
_space_group_symop_operation_xyz
'x,y,z'
loop_
_atom_site_label
_atom_site_fract_x
_atom_site_fract_y
_atom_site_fract_z
La1 0.6018 0.6018 0.6018
La2 0.3982 0.3982 0.3982
Np1 0.0000 0.0000 0.0000
P1 0.5000 0.0000 0.0000
P2 0.0000 0.5000 0.0000
P3 0.0000 0.0000 0.5000
Rh1 0.3375 0.3375 0.9086
Rh2 0.8659 0.8659 0.3781
Rh3 0.3781 0.8659 0.8659
Rh4 0.9086 0.3375 0.3375
Rh5 0.8659 0.3781 0.8659
Rh6 0.3375 0.9086 0.3375
Rh7 0.6625 0.6625 0.0914
Rh8 0.1341 0.1341 0.6219
Rh9 0.6219 0.1341 0.1341
Rh10 0.0914 0.6625 0.6625
Rh11 0.1341 0.6219 0.1341
Rh12 0.6625 0.0914 0.6625

---

# LaNpP2Rh5 PBE relaxed
# * SG: P4/mmm (123)
# * total magnetic moment: 0.345 μB/atom
# * DOS(E_F): 9.87 states/eV per cell
# * raw total energy: -7.817 eV per atom
# * crystal system: tetragonal
data_LaNpP2Rh5
_chemical_formula_sum 'La1 Np1 P2 Rh5'
_space_group_name_H-M_alt 'P 1'
_space_group_IT_number 1
_cell_length_a 4.0579
_cell_length_b 4.0579
_cell_length_c 10.7176
_cell_angle_alpha 90.00
_cell_angle_beta 90.00
_cell_angle_gamma 90.00
loop_
_space_group_symop_operation_xyz
'x,y,z'
loop_
_atom_site_label
_atom_site_fract_x
_atom_site_fract_y
_atom_site_fract_z
La1 0.5000 0.5000 0.5000
Np1 0.0000 0.0000 0.0000
P1 0.0000 0.0000 0.2875
P2 0.0000 0.0000 0.7125
Rh1 0.0000 0.0000 0.5000
Rh2 0.0000 0.5000 0.8138
Rh3 0.5000 0.0000 0.1862
Rh4 0.0000 0.5000 0.1862
Rh5 0.5000 0.0000 0.8138